A geometry-optimized NdLu2Zr structure. Source: the Alexandria database, functional PBE.

**ΔE_f**: 0.190 eV/atom
**Magnetization**: 0.190 μB/atom
**Symmetry**: Fm-3m, No. 225
**Distance to the lowest polymorph of the same formula**: 0.117 eV per atom

Lattice parameters (Å, degrees): 5.455 5.455 5.455 60.00 60.00 60.00
Positions (direct):
Nd (0.000, 0.000, 0.000)
Lu (0.250, 0.250, 0.250)
Lu (0.750, 0.750, 0.750)
Zr (0.500, 0.500, 0.500)

---

A geometry-optimized TbCeN structure. Source: the Alexandria database, functional PBE.

**E_form (uncorrected)**: -1.05 eV/f.u.
**Magnetization**: 0.182 μB/atom
**Symmetry**: F-43m, No. 216
**Distance to the lowest polymorph of the same formula**: 0.585 eV per atom

Lattice parameters (Å, degrees): 4.289 4.289 4.289 60.00 60.00 60.00
Positions (direct):
Tb (0.000, 0.000, 0.000)
Ce (0.500, 0.500, 0.500)
N (0.750, 0.750, 0.750)

---

A geometry-optimized LiAcPb5 structure. Source: the Alexandria database, functional PBE.

**ΔE_f**: -0.216 eV/atom
**Magnetization**: 0.000 μB/atom
**Symmetry**: P4/mmm, No. 123

Lattice parameters (Å, degrees): 4.999 4.999 8.553 90.00 90.00 90.00
Positions (direct):
Li (0.000, 0.000, 0.000)
Ac (0.500, 0.500, 0.500)
Pb (0.000, 0.000, 0.500)
Pb (0.000, 0.500, 0.196)
Pb (0.000, 0.500, 0.804)
Pb (0.500, 0.000, 0.196)
Pb (0.500, 0.000, 0.804)

---

A geometry-optimized HoErAu5 structure. Source: the Alexandria database, functional PBE.

**ΔE_f**: -0.681 eV/atom
**Magnetization**: 0.000 μB/atom
**Symmetry**: C2/c, No. 15

Lattice parameters (Å, degrees): 5.270 5.270 11.202 100.72 100.72 100.62
Positions (direct):
Ho (0.182, 0.818, 0.750)
Ho (0.818, 0.182, 0.250)
Er (0.000, 0.500, 0.000)
Er (0.500, 0.000, 0.500)
Au (0.063, 0.279, 0.543)
Au (0.185, 0.815, 0.250)
Au (0.279, 0.063, 0.043)
Au (0.397, 0.402, 0.355)
Au (0.402, 0.397, 0.855)
Au (0.598, 0.603, 0.145)
Au (0.603, 0.598, 0.645)
Au (0.721, 0.937, 0.957)
Au (0.815, 0.185, 0.750)
Au (0.937, 0.721, 0.457)